## Zr2Sn2Hg (PBE)

Data for a geometry-optimized Zr2Sn2Hg structure.

Cell: 7.712 7.712 3.942 Å, 90.00 90.00 90.00°
Fractional positions:
Hg 0.000 0.000 0.000
Hg 0.500 0.500 0.000
Zr 0.157 0.657 0.500
Zr 0.657 0.843 0.500
Zr 0.843 0.343 0.500
Zr 0.343 0.157 0.500
Sn 0.358 0.858 0.000
Sn 0.858 0.642 0.000
Sn 0.642 0.142 0.000
Sn 0.142 0.358 0.000

V   23.449 Å³ per atom
Relative energy among the computed polymorphs   89 meV/atom
Magnetization   0.00 μB per formula unit
Density   8.79 g/cm³
Energy of formation   -16 kJ per mole of atoms